Entry 1:
# MgCoPt2 GGA-PBEsol relaxed
# mass density	14090	kg/m3
# M_tot	0.5176	μB per atom
# volume	112	Å³ per cell
# formation energy	-0.380	eV/atom
# VASP energy	-6.23	eV per atom
data_MgCoPt2
_chemical_formula_sum 'Mg2 Co2 Pt4'
_symmetry_space_group_name_H-M 'C m m m'
_symmetry_Int_Tables_number 65
_symmetry_space_group_name_Hall '-C 2 2'
_cell_length_a 5.538
_cell_length_b 7.277
_cell_length_c 2.769
_cell_angle_alpha 90.00
_cell_angle_beta 90.00
_cell_angle_gamma 90.00
loop_
_atom_site_label
_atom_site_type_symbol
_atom_site_fract_x
_atom_site_fract_y
_atom_site_fract_z
Mg1 Mg 0.000 0.000 0.000
Co1 Co 0.000 0.500 0.000
Pt1 Pt 0.250 0.250 0.500

=====

Entry 2:
# BaLiCo2 GGA-PBEsol relaxed
# energy above the lowest structure with this stoichiometry	76	meV per atom
# mass density	5586	kg/m3
# M_tot	0.8251	μB per atom
# volume	78	Å³ per cell
# formation energy	0.476	eV/atom
# VASP energy	-4.42	eV per atom
data_BaLiCo2
_chemical_formula_sum 'Ba1 Li1 Co2'
_symmetry_space_group_name_H-M 'P 4 m m'
_symmetry_Int_Tables_number 99
_cell_length_a 3.144
_cell_length_b 3.144
_cell_length_c 7.880
_cell_angle_alpha 90.00
_cell_angle_beta 90.00
_cell_angle_gamma 90.00
loop_
_symmetry_equiv_pos_as_xyz
'x,y,z'
'-y,x,z'
'-x,-y,z'
'y,-x,z'
'-x,y,z'
'y,x,z'
'x,-y,z'
'-y,-x,z'
loop_
_atom_site_label
_atom_site_type_symbol
_atom_site_fract_x
_atom_site_fract_y
_atom_site_fract_z
Ba1 Ba 0.000 0.000 0.000
Li1 Li 0.500 0.500 0.613
Co1 Co 0.000 0.000 0.401
Co2 Co 0.500 0.500 0.303

=====

Entry 3:
# ScZn GGA-PBEsol relaxed
# mass density	3375	kg/m3
# M_tot	0.0013	μB per atom
# volume	217	Å³ per cell
# formation energy	0.821	eV/atom
# VASP energy	-3.27	eV per atom
data_ScZn
_chemical_formula_sum 'Sc4 Zn4'
_symmetry_space_group_name_H-M 'F -4 3 m'
_symmetry_Int_Tables_number 216
_symmetry_space_group_name_Hall 'F -4 2 3'
_cell_length_a 6.011
_cell_length_b 6.011
_cell_length_c 6.011
_cell_angle_alpha 90.00
_cell_angle_beta 90.00
_cell_angle_gamma 90.00
loop_
_atom_site_label
_atom_site_type_symbol
_atom_site_fract_x
_atom_site_fract_y
_atom_site_fract_z
Sc1 Sc 0.000 0.000 0.000
Zn1 Zn 0.250 0.250 0.250